The following is a DFT calculation (PBE) of K2HgPt after structural relaxation.

Calculated values
ΔH_f (0 K): 0.04 eV per atom
Crystal system: orthorhombic
Theoretical density: 6.75 g/cm3
Magnetization: 0.0 μB/f.u.

CIF file:
```
data_K2HgPt
_chemical_formula_sum 'K4 Hg2 Pt2'
_cell_length_a 8.2954
_cell_length_b 8.4921
_cell_length_c 3.3119
_cell_angle_alpha 90.00
_cell_angle_beta 90.00
_cell_angle_gamma 90.00
_space_group_name_H-M_alt 'P 1'
_space_group_IT_number 1
loop_
_space_group_symop_operation_xyz
'x,y,z'
loop_
_atom_site_label
_atom_site_type_symbol
_atom_site_fract_x
_atom_site_fract_y
_atom_site_fract_z
K1 K 0.2500 0.2500 0.0000
K2 K 0.2500 0.7500 0.0000
K3 K 0.7500 0.2500 0.0000
K4 K 0.7500 0.7500 0.0000
Hg1 Hg 0.0000 0.0000 0.5000
Hg2 Hg 0.5000 0.5000 0.5000
Pt1 Pt 0.0000 0.5000 0.5000
Pt2 Pt 0.5000 0.0000 0.5000
```